Record 1
## AgHgTe2 (SCAN)

Data for a PBEsol-optimized structure of AgHgTe2.

Results
formation energy without anion corrections: 113 meV/atom

Lattice parameters (Å, degrees): 3.1192 3.1192 10.6446 90.00 90.00 90.00
Last column: nearest neighbours and their distance in Å.
Space group P4/mmm (No. 123)
Asymmetric unit:
Ag: 0.0000 0.0000 0.0000 x1  4 Ag 3.12, 8 Te 3.14
Hg: 0.0000 0.0000 0.5000 x1  4 Hg 3.12
Te: 0.5000 0.5000 0.2100 x2  4 Te 3.12, 4 Ag 3.14



Record 2
## HgBr2 (SCAN)

Data for a PBEsol-optimized structure of HgBr2.

Results
formation energy without anion corrections: -416 meV/atom

Lattice parameters (Å, degrees): 4.0304 4.0304 6.3056 90.00 90.00 120.00
Last column: nearest neighbours and their distance in Å.
Space group P-3m1 (No. 164)
Asymmetric unit:
Hg: 0.0000 0.0000 0.0000 x1  6 Br 2.81
Br: 0.3333 0.6667 0.7496 x2  3 Hg 2.81



Record 3
## LaCd2Ni (SCAN)

Data for a PBEsol-optimized structure of LaCd2Ni.

Results
formation energy: -0.46 eV per formula unit

Lattice parameters (Å, degrees): 6.9638 6.9638 6.9638 90.00 90.00 90.00
Last column: nearest neighbours and their distance in Å.
Space group F-43m (No. 216)
Asymmetric unit:
La: 0.0000 0.0000 0.0000 x4  4 Cd 3.02, 4 Ni 3.02
Cd: 0.0000 0.0000 0.5000 x4  4 Ni 3.02, 4 Cd 3.02
Cd: 0.2500 0.2500 0.2500 x4  4 Cd 3.02, 4 La 3.02
Ni: 0.2500 0.2500 0.7500 x4  4 Cd 3.02, 4 La 3.02



Record 4
## TeBrCl2 (SCAN)

Data for a PBEsol-optimized structure of TeBrCl2.

Results
E above lowest polymorph: 34 meV per atom
formation energy without anion corrections: 241 meV/atom

Lattice parameters (Å, degrees): 4.4713 4.4713 8.5522 90.00 90.00 90.00
Last column: nearest neighbours and their distance in Å.
Space group I4/mmm (No. 139)
Asymmetric unit:
Te: 0.0000 0.0000 0.0000 x2  8 Cl 3.09, 4 Br 3.16
Br: 0.0000 0.0000 0.5000 x2  8 Cl 3.09, 4 Te 3.16
Cl: 0.0000 0.5000 0.2500 x4  4 Br 3.09, 4 Te 3.09, 4 Cl 3.16



Record 5
## Tl2Pb2I (SCAN)

Data for a PBEsol-optimized structure of Tl2Pb2I.

Results
E above lowest polymorph: 112 meV per atom
formation energy without anion corrections: 31 meV/atom

Lattice parameters (Å, degrees): 4.3619 4.3619 16.6744 90.00 90.00 90.00
Last column: nearest neighbours and their distance in Å.
Space group I4/mmm (No. 139)
Asymmetric unit:
Tl: 0.0000 0.5000 0.2500 x4  4 Tl 3.08, 4 Pb 3.29
Pb: 0.0000 0.0000 0.1021 x4  4 Tl 3.29, 1 Pb 3.41, 4 I 3.52
I: 0.0000 0.0000 0.5000 x2  8 Pb 3.52



Record 6
## Cs2ScTlF6 (SCAN)

Data for a PBEsol-optimized structure of Cs2ScTlF6.

Results
formation energy without anion corrections: -3300 meV/atom

Lattice parameters (Å, degrees): 9.3063 9.3063 9.3063 90.00 90.00 90.00
Last column: nearest neighbours and their distance in Å.
Space group Fm-3m (No. 225)
Asymmetric unit:
Cs: 0.2500 0.2500 0.2500 x8  12 F 3.30
Sc: 0.0000 0.0000 0.0000 x4  6 F 2.02
Tl: 0.0000 0.0000 0.5000 x4  6 F 2.64
F: 0.0000 0.0000 0.2167 x24  1 Sc 2.02



Record 7
## SbMoCl2 (SCAN)

Data for a PBEsol-optimized structure of SbMoCl2.

Results
E above lowest polymorph: 30 meV per atom
formation energy without anion corrections: 105 meV/atom

Lattice parameters (Å, degrees): 3.0720 3.0720 32.1266 90.00 90.00 120.00
Last column: nearest neighbours and their distance in Å.
Space group R-3m (No. 166, hexagonal axes)
Asymmetric unit:
Sb: 0.0000 0.0000 0.0000 x3  6 Sb 3.07
Mo: 0.0000 0.0000 0.5000 x3  2 Cl 2.22
Cl: 0.0000 0.0000 0.4309 x6  1 Mo 2.22



Record 8
## TlAs2SeO (SCAN)

Data for a PBEsol-optimized structure of TlAs2SeO.

Results
formation energy without anion corrections: 270 meV/atom

Lattice parameters (Å, degrees): 4.0842 4.0842 6.5375 90.00 90.00 90.00
Last column: nearest neighbours and their distance in Å.
Space group P4/mmm (No. 123)
Asymmetric unit:
Tl: 0.0000 0.0000 0.0000 x1  4 Se 2.89
As: 0.0000 0.5000 0.5000 x2  2 O 2.04
Se: 0.5000 0.5000 0.0000 x1  4 Tl 2.89
O: 0.5000 0.5000 0.5000 x1  4 As 2.04



Record 9
## Er2MgCd (SCAN)

Data for a PBEsol-optimized structure of Er2MgCd.

Results
formation energy: -0.97 eV per formula unit

Lattice parameters (Å, degrees): 7.3494 7.3494 7.3494 90.00 90.00 90.00
Last column: nearest neighbours and their distance in Å.
Space group Fm-3m (No. 225)
Asymmetric unit:
Er: 0.2500 0.2500 0.2500 x8  4 Cd 3.18, 4 Mg 3.18
Mg: 0.0000 0.0000 0.0000 x4  8 Er 3.18
Cd: 0.0000 0.0000 0.5000 x4  8 Er 3.18



Record 10
## Li2YTiPd (SCAN)

Data for a PBEsol-optimized structure of Li2YTiPd.

Results
formation energy: 1.26 eV per formula unit

Lattice parameters (Å, degrees): 4.6543 4.6543 5.2070 90.00 90.00 90.00
Last column: nearest neighbours and their distance in Å.
Space group P4/mmm (No. 123)
Asymmetric unit:
Li: 0.0000 0.5000 0.0000 x2  2 Pd 2.33
Y: 0.0000 0.0000 0.5000 x1  2 Pd 2.60
Ti: 0.5000 0.5000 0.5000 x1  4 Y 3.29, 8 Li 3.49
Pd: 0.0000 0.0000 0.0000 x1  4 Li 2.33, 2 Y 2.60



Record 11
## MnPtO2F (SCAN)

Data for a PBEsol-optimized structure of MnPtO2F.

Results
formation energy without anion corrections: -598 meV/atom

Lattice parameters (Å, degrees): 3.9509 3.9509 4.1324 90.00 90.00 90.00
Last column: nearest neighbours and their distance in Å.
Space group P4/mmm (No. 123)
Asymmetric unit:
Mn: 0.0000 0.0000 0.0000 x1  4 F 2.79, 8 O 2.86
Pt: 0.5000 0.5000 0.5000 x1  4 O 1.98, 2 F 2.07
O: 0.0000 0.5000 0.5000 x2  2 Pt 1.98
F: 0.5000 0.5000 0.0000 x1  2 Pt 2.07



Record 12
## CsCr5Se8 (SCAN)

Data for a PBEsol-optimized structure of CsCr5Se8.

Results
formation energy without anion corrections: -1009 meV/atom

Lattice parameters (Å, degrees): 18.7173 3.6450 8.9940 90.00 104.43 90.00
Last column: nearest neighbours and their distance in Å.
Space group C2/m (No. 12)
Asymmetric unit:
Cs: 0.0000 0.0000 0.0000 x2  10 Se 3.55-3.71, 2 Cs 3.64
Cr: 0.0000 0.5000 0.5000 x2  6 Se 2.50
Cr: 0.1596 0.0000 0.4818 x4  6 Se 2.45-2.62
Cr: 0.2040 0.0000 0.8338 x4  6 Se 2.46-2.60
Se: 0.0748 0.0000 0.6552 x4  4 Cr 2.49-2.55
Se: 0.0888 0.5000 0.3330 x4  3 Cr 2.45-2.50
Se: 0.1717 0.5000 0.9906 x4  3 Cr 2.46-2.47
Se: 0.2392 0.5000 0.6586 x4  5 Cr 2.52-2.62



Record 13
## MnRhCl (SCAN)

Data for a PBEsol-optimized structure of MnRhCl.

Results
formation energy without anion corrections: 420 meV/atom

Lattice parameters (Å, degrees): 5.7750 5.7750 5.7750 90.00 90.00 90.00
Last column: nearest neighbours and their distance in Å.
Space group F-43m (No. 216)
Asymmetric unit:
Mn: 0.0000 0.0000 0.0000 x4  4 Cl 2.50
Rh: 0.0000 0.0000 0.5000 x4  4 Cl 2.50
Cl: 0.2500 0.2500 0.7500 x4  4 Mn 2.50, 4 Rh 2.50



Record 14
## MgScSb2 (SCAN)

Data for a PBEsol-optimized structure of MgScSb2.

Results
formation energy without anion corrections: -539 meV/atom

Lattice parameters (Å, degrees): 4.0808 4.0808 20.9805 90.00 90.00 120.00
Last column: nearest neighbours and their distance in Å.
Space group R-3m (No. 166, hexagonal axes)
Asymmetric unit:
Mg: 0.0000 0.0000 0.0000 x3  6 Sb 2.95
Sc: 0.0000 0.0000 0.5000 x3  6 Sb 2.91
Sb: 0.0000 0.0000 0.2484 x6  3 Sc 2.91, 3 Mg 2.95



Record 15
## SrLiZr2 (SCAN)

Data for a PBEsol-optimized structure of SrLiZr2.

Results
formation energy: 2.25 eV per formula unit
E above lowest polymorph: 38 meV per atom

Lattice parameters (Å, degrees): 3.2028 5.9268 10.9589 90.00 90.00 90.00
Last column: nearest neighbours and their distance in Å.
Space group Imm2 (No. 44)
Asymmetric unit:
Sr: 0.0000 0.0000 0.0000 x2  2 Sr 3.20, 2 Li 3.22, 6 Zr 3.37-3.55
Li: 0.0000 0.5000 0.2450 x2  2 Zr 3.02, 2 Li 3.20, 2 Sr 3.22
Zr: 0.0000 0.0000 0.5112 x2  4 Zr 2.92-3.20, 2 Li 3.02
Zr: 0.0000 0.5000 0.7887 x2  4 Zr 2.92-3.20



Record 16
## TlAgCl4 (SCAN)

Data for a PBEsol-optimized structure of TlAgCl4.

Results
formation energy without anion corrections: 88 meV/atom

Lattice parameters (Å, degrees): 8.3029 8.3029 8.3029 90.00 90.00 90.00
Last column: nearest neighbours and their distance in Å.
Space group F-43m (No. 216)
Asymmetric unit:
Tl: 0.0000 0.0000 0.0000 x4  12 Cl 3.44, 4 Ag 3.60
Ag: 0.2500 0.2500 0.2500 x4  12 Cl 3.44, 4 Tl 3.60
Cl: 0.1248 0.1248 0.6248 x16  6 Cl 2.93-2.94



Record 17
## KCdIr2 (SCAN)

Data for a PBEsol-optimized structure of KCdIr2.

Results
formation energy: 2.18 eV per formula unit

Lattice parameters (Å, degrees): 2.7361 5.2791 11.0431 90.00 90.00 90.00
Last column: nearest neighbours and their distance in Å.
Space group Imm2 (No. 44)
Asymmetric unit:
K: 0.0000 0.0000 0.0000 x2  2 K 2.74, 4 Ir 2.99
Cd: 0.0000 0.5000 0.7993 x2  2 Cd 2.74, 2 Ir 2.85
Ir: 0.0000 0.0000 0.5258 x2  4 Ir 2.49-2.74
Ir: 0.0000 0.5000 0.2148 x2  4 Ir 2.49-2.74



Record 18
## CaHf2ZrSn (SCAN)

Data for a PBEsol-optimized structure of CaHf2ZrSn.

Results
formation energy: 2.99 eV per formula unit

Lattice parameters (Å, degrees): 5.0628 5.0628 5.5006 90.00 90.00 90.00
Last column: nearest neighbours and their distance in Å.
Space group P4/mmm (No. 123)
Asymmetric unit:
Ca: 0.0000 0.0000 0.0000 x1  4 Sn 3.58, 8 Hf 3.74
Hf: 0.0000 0.5000 0.5000 x2  2 Zr 2.53
Zr: 0.5000 0.5000 0.5000 x1  4 Hf 2.53, 2 Sn 2.75
Sn: 0.5000 0.5000 0.0000 x1  2 Zr 2.75



Record 19
## La21Fe8Sn7C12 (SCAN)

Data for a PBEsol-optimized structure of La21Fe8Sn7C12.

Results
formation energy: -24.18 eV per formula unit

Lattice parameters (Å, degrees): 16.2481 16.2481 16.2481 90.00 90.00 90.00
Last column: nearest neighbours and their distance in Å.
Space group Fm-3m (No. 225)
Asymmetric unit:
La: 0.0000 0.0000 0.0000 x4  6 Sn 3.41, 8 La 3.79
La: 0.0000 0.1688 0.3312 x48  2 C 2.58
La: 0.1348 0.1348 0.1348 x32  3 C 2.68
Fe: 0.1966 0.1966 0.3034 x32  3 C 1.87
Sn: 0.0000 0.0000 0.2101 x24  9 La 3.33-3.41
Sn: 0.0000 0.0000 0.5000 x4  12 La 3.88
C: 0.1095 0.2500 0.2500 x48  2 Fe 1.87



Record 20
## KNiTe2 (SCAN)

Data for a PBEsol-optimized structure of KNiTe2.

Results
formation energy without anion corrections: -38 meV/atom

Lattice parameters (Å, degrees): 3.2923 3.4386 8.5521 90.00 90.00 90.00
Last column: nearest neighbours and their distance in Å.
Space group Pmmm (No. 47)
Asymmetric unit:
K: 0.0000 0.0000 0.0000 x1  4 K 3.29-3.44, 8 Te 3.58
Ni: 0.0000 0.0000 0.5000 x1  8 Te 2.87
Te: 0.5000 0.5000 0.3121 x2  4 Ni 2.87, 1 Te 3.21



Record 21
## Zr2GaS (SCAN)

Data for a PBEsol-optimized structure of Zr2GaS.

Results
formation energy without anion corrections: -646 meV/atom

Lattice parameters (Å, degrees): 6.5389 6.5389 6.5389 90.00 90.00 90.00
Last column: nearest neighbours and their distance in Å.
Space group Fm-3m (No. 225)
Asymmetric unit:
Zr: 0.2500 0.2500 0.2500 x8  4 S 2.83, 4 Ga 2.83
Ga: 0.0000 0.0000 0.0000 x4  8 Zr 2.83
S: 0.0000 0.0000 0.5000 x4  8 Zr 2.83



Record 22
## BaTaHg2 (SCAN)

Data for a PBEsol-optimized structure of BaTaHg2.

Results
formation energy: 1.32 eV per formula unit

Lattice parameters (Å, degrees): 3.1317 4.8444 6.7294 90.00 90.40 90.00
Last column: nearest neighbours and their distance in Å.
Space group Pm (No. 6)
Asymmetric unit:
Ba: 0.0000 0.0000 0.0000 x1  2 Ba 3.13, 6 Hg 3.35-3.45
Ta: 0.0120 0.5000 0.6079 x1  6 Hg 2.85-2.92, 2 Ta 3.13
Hg: 0.5043 0.5000 0.2534 x1  2 Ta 2.85-2.86, 4 Hg 3.12-3.13
Hg: 0.5061 0.0000 0.5461 x1  4 Ta 2.91-2.92, 4 Hg 3.12-3.13



Record 23
## Ba2MgTiGa (SCAN)

Data for a PBEsol-optimized structure of Ba2MgTiGa.

Results
formation energy: 2.93 eV per formula unit

Lattice parameters (Å, degrees): 6.3656 6.3656 4.8019 90.00 90.00 90.00
Last column: nearest neighbours and their distance in Å.
Space group P4/mmm (No. 123)
Asymmetric unit:
Ba: 0.0000 0.5000 0.0000 x2  2 Mg 3.18
Mg: 0.0000 0.0000 0.0000 x1  2 Ga 2.40
Ti: 0.5000 0.5000 0.5000 x1  8 Ba 3.99
Ga: 0.0000 0.0000 0.5000 x1  2 Mg 2.40



Record 24
## TaSb2TeRu (SCAN)

Data for a PBEsol-optimized structure of TaSb2TeRu.

Results
formation energy without anion corrections: 1198 meV/atom

Lattice parameters (Å, degrees): 5.2442 5.2442 5.2025 90.00 90.00 90.00
Last column: nearest neighbours and their distance in Å.
Space group P4/mmm (No. 123)
Asymmetric unit:
Ta: 0.0000 0.0000 0.0000 x1  2 Te 2.60, 4 Sb 2.62
Sb: 0.0000 0.5000 0.0000 x2  2 Ta 2.62
Te: 0.0000 0.0000 0.5000 x1  2 Ta 2.60
Ru: 0.5000 0.5000 0.5000 x1  8 Sb 3.69, 4 Te 3.71



Record 25
## KTaAu (SCAN)

Data for a PBEsol-optimized structure of KTaAu.

Results
formation energy: 1.56 eV per formula unit

Lattice parameters (Å, degrees): 2.9742 2.9742 15.4168 90.00 90.00 90.00
Last column: nearest neighbours and their distance in Å.
Space group I4mm (No. 107)
Asymmetric unit:
K: 0.0000 0.0000 0.0000 x2  4 K 2.97
Ta: 0.0000 0.0000 0.7104 x2  4 Au 2.78, 4 Ta 2.97
Au: 0.0000 0.0000 0.3279 x2  4 Ta 2.78, 4 Au 2.97



Record 26
## Cr2SiCl (SCAN)

Data for a PBEsol-optimized structure of Cr2SiCl.

Results
E above lowest polymorph: 656 meV per atom
formation energy without anion corrections: 495 meV/atom

Lattice parameters (Å, degrees): 5.8831 5.8831 5.8831 90.00 90.00 90.00
Last column: nearest neighbours and their distance in Å.
Space group Fm-3m (No. 225)
Asymmetric unit:
Cr: 0.2500 0.2500 0.2500 x8  4 Cl 2.55, 4 Si 2.55
Si: 0.0000 0.0000 0.0000 x4  8 Cr 2.55
Cl: 0.0000 0.0000 0.5000 x4  8 Cr 2.55



Record 27
## AlTc2Te (SCAN)

Data for a PBEsol-optimized structure of AlTc2Te.

Results
E above lowest polymorph: 298 meV per atom
formation energy without anion corrections: 216 meV/atom

Lattice parameters (Å, degrees): 3.0484 3.0484 24.9991 90.00 90.00 120.00
Last column: nearest neighbours and their distance in Å.
Space group R3m (No. 160, hexagonal axes)
Asymmetric unit:
Al: 0.0000 0.0000 0.0000 x3  3 Tc 2.57
Tc: 0.0000 0.0000 0.2587 x3  3 Al 2.57, 3 Tc 2.64
Tc: 0.0000 0.0000 0.5131 x3  3 Tc 2.64, 3 Te 2.70
Te: 0.0000 0.0000 0.7644 x3  3 Tc 2.70, 3 Al 3.01